Material: NbZn2Ga
Method: DFT, PBE-GGA
State: relaxed

a = 3.9073 Å, b = 3.9073 Å, c = 4.0393 Å
α = 90.00°, β = 90.00°, γ = 90.00°
With the nearest neighbours (Å) after each atom.
Space group P4/mmm (No. 123)
Symmetry-distinct sites (fractional):
Nb  0.0000  0.0000  0.0000 (multiplicity 1)  4 Ga 2.76, 8 Zn 2.81
Zn  0.0000  0.5000  0.5000 (multiplicity 2)  4 Zn 2.76, 4 Ga 2.81, 4 Nb 2.81
Ga  0.5000  0.5000  0.0000 (multiplicity 1)  4 Nb 2.76, 8 Zn 2.81

* ΔH_f (0 K): -0.264 eV per atom
* size of the total moment: 0.000 μB/cell